Record 1
VASP calculation (GGA-PBE) on a geometry-optimized ZrPaSe2N structure.

Summary:
- Electronic total energy: -8.2498 eV/atom
- M_tot: 0.00 μB per atom
- Space-group type: P4/nmm, No. 129

Unit cell a=3.815 b=3.815 c=13.480 alpha=90.00 beta=90.00 gamma=90.00
Sites, in units of the cell vectors:
Zr  0.250  0.250  0.080
Zr  0.750  0.750  0.920
Pa  0.250  0.250  0.592
Pa  0.750  0.750  0.408
Se  0.250  0.250  0.298
Se  0.250  0.250  0.874
Se  0.750  0.750  0.126
Se  0.750  0.750  0.702
N  0.250  0.750  0.500
N  0.750  0.250  0.500



Record 2
VASP calculation (GGA-PBE) on a geometry-optimized PuZn2SbO8 structure.

Summary:
- Electronic total energy: -6.5469 eV/atom
- M_tot: 0.08 μB per atom
- Space-group type: I-4m2, No. 119

Unit cell a=5.798 b=5.798 c=5.798 alpha=112.24 beta=112.24 gamma=104.06
Sites, in units of the cell vectors:
Pu  0.000  0.000  0.000
Zn  0.500  0.500  0.000
Zn  0.750  0.250  0.500
Sb  0.250  0.750  0.500
O  0.293  0.097  0.804
O  0.293  0.489  0.196
O  0.345  0.038  0.307
O  0.511  0.707  0.804
O  0.731  0.038  0.693
O  0.903  0.707  0.196
O  0.962  0.269  0.307
O  0.962  0.655  0.693



Record 3
VASP calculation (GGA-PBE) on a geometry-optimized Tm8Tl3CSe3 structure.

Summary:
- Electronic total energy: -5.0009 eV/atom
- M_tot: 0.00 μB per atom
- Space-group type: C2/m, No. 12

Unit cell a=7.761 b=7.761 c=8.888 alpha=115.94 beta=115.94 gamma=59.99
Sites, in units of the cell vectors:
Tm  0.209  0.209  0.693
Tm  0.209  0.776  0.694
Tm  0.224  0.791  0.306
Tm  0.260  0.260  0.282
Tm  0.740  0.740  0.718
Tm  0.776  0.209  0.694
Tm  0.791  0.224  0.306
Tm  0.791  0.791  0.307
Tl  0.000  0.000  0.000
Tl  0.000  0.500  0.000
Tl  0.500  0.000  0.000
C  0.000  0.000  0.500
Se  0.000  0.500  0.500
Se  0.500  0.000  0.500
Se  0.500  0.500  0.500